Compound: In3GeW
Source: Alexandria
Functional: GGA-PBE
Structure: optimized geometry

space group: Pm-3m (221)
DFT formation energy: 1.44 eV per atom
uncorrected energy: -18.6 eV/cell

a b c (Å): 5.248 5.248 5.248
angles (deg): 90.00 90.00 90.00
Fractional positions:
In  0.000  0.000  0.500
In  0.000  0.500  0.000
In  0.500  0.000  0.000
Ge  0.000  0.000  0.000
W  0.500  0.500  0.500